Record 1
A PBEsol-optimized structure of LiCo2P2O8. Source: Alexandria, functional SCAN.

Summary:
For the energy above the most stable polymorph in this dataset, the calculation gives 0 meV per atom. The value obtained for the total magnetization is 7.000 μB per formula unit. The uncorrected formation energy is -2048 meV per atom. The value obtained for the mass density is 3.10 g cm⁻³.

a b c (Å): 5.027 10.174 13.206
angles (deg): 90.00 90.00 90.00
Site moments in Bohr magnetons follow the coordinates.
Fractional positions:
O1 0.425 0.007 0.521  0.12
O2 0.441 0.458 0.214  0.10
O3 0.069 0.791 0.284  0.09
Co1 0.935 0.031 0.996  2.84
O4 0.487 0.318 0.639  0.14
O5 0.139 0.499 0.617  0.10
Co2 0.435 0.714 0.748  2.85
O6 0.372 0.260 0.862  0.15
Li1 0.939 0.530 0.747  0.00
P1 0.930 0.777 0.876  0.01
Co3 0.435 0.786 0.248  2.85
O7 0.513 0.818 0.639  0.14
Li2 0.939 0.970 0.247  0.00
P2 0.559 0.966 0.621  0.01
O8 0.019 0.712 0.976  0.13
P3 0.930 0.723 0.376  0.01
O9 0.628 0.760 0.862  0.15
O10 0.513 0.682 0.139  0.14
O11 0.931 0.209 0.784  0.09
O12 0.441 0.042 0.714  0.10
P4 0.070 0.277 0.876  0.01
O13 0.981 0.212 0.976  0.13
O14 0.487 0.182 0.139  0.14
O15 0.931 0.291 0.284  0.09
Co4 0.935 0.469 0.496  2.84
O16 0.861 0.999 0.617  0.10
O17 0.559 0.542 0.714  0.10
O18 0.861 0.501 0.117  0.10
P5 0.441 0.466 0.621  0.01
Co5 0.065 0.969 0.496  2.84
O19 0.559 0.958 0.214  0.10
O20 0.004 0.575 0.378  0.10
P6 0.441 0.034 0.121  0.01
O21 0.996 0.425 0.878  0.10
P7 0.070 0.223 0.376  0.01
O22 0.425 0.493 0.021  0.12
O23 0.628 0.740 0.362  0.15
Li3 0.061 0.470 0.247  0.00
Co6 0.565 0.214 0.748  2.85
Co7 0.065 0.531 0.996  2.84
O24 0.004 0.925 0.878  0.10
P8 0.559 0.534 0.121  0.01
O25 0.981 0.288 0.476  0.13
O26 0.139 0.001 0.117  0.10
O27 0.069 0.709 0.784  0.09
O28 0.575 0.507 0.521  0.12
Co8 0.565 0.286 0.248  2.85
O29 0.019 0.788 0.476  0.13
O30 0.372 0.240 0.362  0.15
O31 0.996 0.075 0.378  0.10
Li4 0.061 0.030 0.747  0.00
O32 0.575 0.993 0.021  0.12

---

Record 2
A PBEsol-optimized structure of Li2CoP2O7. Source: Alexandria, functional SCAN.

Summary:
For the energy above the most stable polymorph in this dataset, the calculation gives 13 meV per atom. The value obtained for the total magnetization is 2.939 μB per formula unit. The uncorrected formation energy is -2333 meV per atom. The value obtained for the mass density is 2.73 g cm⁻³.

a b c (Å): 4.944 9.190 8.761
angles (deg): 126.74 90.00 105.60
Site moments in Bohr magnetons follow the coordinates.
Fractional positions:
O1 0.754 0.801 0.742  0.05
O2 0.953 0.199 0.758  0.05
Co1 0.000 0.000 0.500  2.63
P1 0.536 0.795 0.611  0.01
O3 0.047 0.801 0.242  0.05
O4 0.478 0.000 0.750  0.00
Li1 0.043 0.378 0.326  0.00
O5 0.246 0.199 0.258  0.05
P2 0.741 0.205 0.889  0.01
P3 0.259 0.795 0.111  0.01
P4 0.464 0.205 0.389  0.01
Li2 0.665 0.622 0.174  0.00
O6 0.249 0.641 0.534  0.01
O7 0.671 0.791 0.450  0.05
O8 0.120 0.791 0.950  0.05
Co2 0.000 0.000 0.000  2.63
O9 0.608 0.359 0.966  0.01
Li3 0.335 0.378 0.826  0.00
O10 0.329 0.209 0.550  0.05
Li4 0.957 0.622 0.674  0.00
O11 0.392 0.641 0.034  0.01
O12 0.751 0.359 0.466  0.01
O13 0.522 0.000 0.250  0.00
O14 0.880 0.209 0.050  0.05

---

Record 3
A PBEsol-optimized structure of Li3Co2P3O12. Source: Alexandria, functional SCAN.

Summary:
For the energy above the most stable polymorph in this dataset, the calculation gives 0 meV per atom. The value obtained for the total magnetization is 0.001 μB per formula unit. The uncorrected formation energy is -2238 meV per atom. The value obtained for the mass density is 3.58 g cm⁻³.

a b c (Å): 8.125 8.395 11.516
angles (deg): 90.00 90.72 90.00
Fractional positions:
P1 0.893 0.376 0.358
Co1 0.750 0.028 0.384
O1 0.110 0.697 0.340
O2 0.090 0.868 0.085
O3 0.890 0.303 0.660
O4 0.910 0.132 0.915
O5 0.862 0.076 0.519
O6 0.173 0.785 0.690
P2 0.387 0.383 0.144
Li1 0.166 0.291 0.667
O7 0.431 0.578 0.815
P3 0.393 0.124 0.858
Li2 0.929 0.999 0.160
O8 0.610 0.803 0.840
O9 0.673 0.715 0.190
O10 0.568 0.327 0.610
O11 0.071 0.374 0.400
O12 0.429 0.874 0.100
O13 0.410 0.368 0.415
Li3 0.571 0.499 0.340
Li4 0.071 0.001 0.840
Li5 0.666 0.209 0.167
O14 0.362 0.424 0.019
O15 0.569 0.422 0.185
Li6 0.429 0.501 0.660
O16 0.390 0.197 0.160
O17 0.188 0.677 0.937
Co2 0.750 0.473 0.608
O18 0.234 0.555 0.554
O19 0.124 0.502 0.746
Li7 0.581 0.911 0.694
O20 0.058 0.379 0.939
Co3 0.750 0.973 0.892
O21 0.812 0.323 0.063
O22 0.932 0.827 0.890
P4 0.032 0.748 0.991
O23 0.929 0.626 0.600
P5 0.532 0.752 0.491
O24 0.138 0.924 0.481
O25 0.271 0.475 0.225
Li8 0.919 0.411 0.806
O26 0.931 0.922 0.315
O27 0.876 0.498 0.254
P6 0.113 0.883 0.356
O28 0.432 0.673 0.390
O29 0.571 0.126 0.900
P7 0.468 0.248 0.509
O30 0.327 0.285 0.810
O31 0.558 0.121 0.439
O32 0.688 0.823 0.437
Li9 0.081 0.589 0.194
O33 0.229 0.975 0.275
O34 0.069 0.078 0.685
O35 0.771 0.025 0.725
Co4 0.250 0.472 0.884
Co5 0.250 0.027 0.108
P8 0.887 0.117 0.644
O36 0.590 0.632 0.585
P9 0.968 0.252 0.009
O37 0.376 0.002 0.754
Li10 0.419 0.089 0.306
O38 0.729 0.525 0.775
O39 0.942 0.621 0.061
Li11 0.834 0.709 0.333
O40 0.266 0.055 0.946
P10 0.107 0.624 0.642
Co6 0.250 0.972 0.616
Co7 0.250 0.527 0.392
P11 0.607 0.876 0.142
O41 0.734 0.945 0.054
Li12 0.334 0.791 0.833
O42 0.068 0.173 0.110
O43 0.312 0.177 0.563
O44 0.442 0.879 0.561
Co8 0.750 0.528 0.116
O45 0.766 0.445 0.446
O46 0.827 0.215 0.310
P12 0.613 0.617 0.856
O47 0.638 0.576 0.981
O48 0.624 0.998 0.246